(1)
# Ti2CoMo4

A geometry-optimized Ti2CoMo4 structure (PBE, the Alexandria database).

- Crystal system: tetragonal
- Uncorrected energy: -8.447 eV per atom

```
data_Ti2CoMo4
_symmetry_space_group_name_H-M 'I 4/m m m'
_symmetry_Int_Tables_number 139
_symmetry_space_group_name_Hall '-I 4 2'
_cell_length_a 4.430
_cell_length_b 4.430
_cell_length_c 12.700
_cell_angle_alpha 90.00
_cell_angle_beta 90.00
_cell_angle_gamma 90.00
loop_
_atom_site_label
_atom_site_type_symbol
_atom_site_fract_x
_atom_site_fract_y
_atom_site_fract_z
Ti1 Ti 0.000 0.000 0.128
Co1 Co 0.000 0.000 0.500
Mo1 Mo 0.000 0.000 0.316
Mo2 Mo 0.000 0.500 0.000
```

---

(2)
# SmGaAg3

A geometry-optimized SmGaAg3 structure (PBE, the Alexandria database).

- Crystal system: orthorhombic
- Uncorrected energy: -3.500 eV per atom

```
data_SmGaAg3
_symmetry_space_group_name_H-M 'P m m n'
_symmetry_Int_Tables_number 59
_cell_length_a 4.888
_cell_length_b 6.602
_cell_length_c 6.402
_cell_angle_alpha 90.00
_cell_angle_beta 90.00
_cell_angle_gamma 90.00
loop_
_symmetry_equiv_pos_as_xyz
'x,y,z'
'-x,-y,-z'
'-x+1/2,-y+1/2,z'
'x+1/2,y+1/2,-z'
'x+1/2,-y,-z'
'-x+1/2,y,z'
'-x,y+1/2,-z'
'x,-y+1/2,z'
loop_
_atom_site_label
_atom_site_type_symbol
_atom_site_fract_x
_atom_site_fract_y
_atom_site_fract_z
Sm1 Sm 0.250 0.250 0.248
Ga1 Ga 0.250 0.750 0.447
Ag1 Ag 0.250 0.046 0.734
Ag2 Ag 0.250 0.750 0.054
```

---

What is the uncorrected energy in the first record?
-8.447 eV per atom

---

uncorrected energy of number 2 (SmGaAg3)?
-3.500 eV per atom

---

Number 1 is which compound?
Ti2CoMo4